This record from Alexandria via LeMat-Bulk describes an optimized crystal structure of Be2Cu2Rh. The functional is PBE.

a b c (Å): 3.3081 3.3081 9.9595
angles (deg): 90.00 90.00 90.00
Closest atoms and distances in Å follow each position.
Space group I4/mmm (No. 139)
One atom of each set of equivalent atoms:
Be 0.0000 0.0000 0.0996 (multiplicity 4)  1 Be 1.98
Cu 0.0000 0.5000 0.2500 (multiplicity 4)  4 Be 2.23, 4 Cu 2.34
Rh 0.0000 0.0000 0.5000 (multiplicity 2)  8 Be 2.54

As for the total energy: -4.708 eV per atom. Its energy of formation from the pure elements is -0.11 eV per atom. The calculated volume is 10.90 Å³ per atom.


This record from Alexandria via LeMat-Bulk describes an optimized crystal structure of CaAc3Tc. The functional is PBE.

a b c (Å): 6.6961 16.3115 7.1964
angles (deg): 90.00 90.00 90.00
Closest atoms and distances in Å follow each position.
Space group Imm2 (No. 44)
One atom of each set of equivalent atoms:
Ca 0.0000 0.2500 0.0000 (multiplicity 4)  8 Ac 3.73-4.12
Ac 0.0000 0.0000 0.0786 (multiplicity 2)  2 Tc 2.90
Ac 0.0000 0.1274 0.5626 (multiplicity 4)  2 Tc 2.99
Ac 0.0000 0.3731 0.4378 (multiplicity 4)  2 Tc 2.99
Ac 0.0000 0.5000 0.9213 (multiplicity 2)  2 Tc 2.90
Tc 0.2502 0.0000 0.7499 (multiplicity 4)  6 Ac 2.90-2.99

As for the total energy: -4.856 eV per atom. Its energy of formation from the pure elements is 0.08 eV per atom. The calculated volume is 39.30 Å³ per atom.


This record from Alexandria via LeMat-Bulk describes an optimized crystal structure of Pm2CoWN5. The functional is PBE.

a b c (Å): 3.2254 14.1818 9.9830
angles (deg): 90.00 90.00 90.00
Closest atoms and distances in Å follow each position.
Space group Cmc2_1 (No. 36)
One atom of each set of equivalent atoms:
Pm 0.0000 0.1174 0.0000 (multiplicity 4)  7 N 2.44-2.66
Pm 0.0000 0.1217 0.6236 (multiplicity 4)  6 N 2.42-2.54
Co 0.0000 0.4464 0.7535 (multiplicity 4)  4 N 1.77-1.95
W 0.0000 0.2056 0.3241 (multiplicity 4)  1 N 1.84
N 0.0000 0.0275 0.3177 (multiplicity 4)  2 Co 1.77
N 0.0000 0.3029 0.9589 (multiplicity 4)  2 W 2.10
N 0.0000 0.3186 0.6825 (multiplicity 4)  1 Co 1.95, 2 W 2.17
N 0.0000 0.3349 0.3104 (multiplicity 4)  1 W 1.84
N 0.0000 0.4978 0.5826 (multiplicity 4)  1 Co 1.86

As for the total energy: -8.588 eV per atom. For the energy relative to the elements, uncorrected, the calculation gives -0.678 eV/atom. The calculated volume is 12.68 Å³ per atom.


This record from Alexandria via LeMat-Bulk describes an optimized crystal structure of NaSnH3. The functional is PBE.

a b c (Å): 3.0457 6.8082 6.8982
angles (deg): 90.00 90.02 90.00
Closest atoms and distances in Å follow each position.
Space group P2_1/m (No. 11)
One atom of each set of equivalent atoms:
Na 0.0011 0.2500 0.2988 (multiplicity 2)  6 H 2.26-2.30
Sn 0.4992 0.2500 0.8125 (multiplicity 2)  3 H 1.83-1.93
H 0.4991 0.5340 0.8149 (multiplicity 4)  1 Sn 1.93
H 0.4997 0.2500 0.5478 (multiplicity 2)  1 Sn 1.83

As for the total energy: -2.930 eV per atom. The calculated volume is 14.30 Å³ per atom.


This record from Alexandria via LeMat-Bulk describes an optimized crystal structure of Ce5Pu2Ru5. The functional is PBE.

a b c (Å): 10.3596 4.5134 11.9762
angles (deg): 90.00 113.66 90.00
Closest atoms and distances in Å follow each position.
Space group C2/m (No. 12)
One atom of each set of equivalent atoms:
Ce 0.0000 0.0000 0.0000 (multiplicity 2)  8 Ru 3.03-3.22
Ce 0.1100 0.5000 0.7845 (multiplicity 4)  3 Ru 2.75-2.96, 2 Pu 2.94
Ce 0.1601 0.5000 0.5015 (multiplicity 4)  3 Ru 2.79-2.80, 2 Ce 2.94
Pu 0.2296 0.5000 0.2533 (multiplicity 4)  3 Ru 2.54-2.80
Ru 0.0000 0.0000 0.5000 (multiplicity 2)  4 Ce 2.80, 2 Ru 3.04
Ru 0.0911 0.0000 0.2883 (multiplicity 4)  3 Ce 2.79-2.96, 2 Pu 2.80, 1 Ru 3.04
Ru 0.2077 0.5000 0.0345 (multiplicity 4)  1 Pu 2.54, 2 Ru 2.67, 1 Ce 2.75

As for the total energy: -8.930 eV per atom. Its energy of formation from the pure elements is -0.20 eV per atom. The calculated volume is 21.37 Å³ per atom.


This record from Alexandria via LeMat-Bulk describes an optimized crystal structure of Nd2ErSb3. The functional is PBE.

a b c (Å): 7.7426 13.4123 7.7362
angles (deg): 90.00 109.51 90.00
Closest atoms and distances in Å follow each position.
Space group C2/m (No. 12)
One atom of each set of equivalent atoms:
Nd 0.0000 0.0000 0.0000 (multiplicity 2)  6 Sb 3.16-3.17
Nd 0.0000 0.1643 0.5000 (multiplicity 4)  6 Sb 3.17-3.21
Nd 0.0000 0.5000 0.5000 (multiplicity 2)  6 Sb 3.16-3.21
Er 0.0000 0.3325 0.0000 (multiplicity 4)  6 Sb 3.11
Sb 0.2405 0.5000 0.2408 (multiplicity 4)  2 Er 3.11, 4 Nd 3.16-3.20
Sb 0.2491 0.3304 0.7567 (multiplicity 8)  2 Er 3.11, 4 Nd 3.17-3.21

As for the total energy: -5.561 eV per atom. For the energy relative to the elements, uncorrected, the calculation gives -1.150 eV/atom. The calculated volume is 31.55 Å³ per atom.


This record from Alexandria via LeMat-Bulk describes an optimized crystal structure of Np2HgSb. The functional is PBE.

a b c (Å): 7.4758 7.4758 7.4758
angles (deg): 90.00 90.00 90.00
Closest atoms and distances in Å follow each position.
Space group Fm-3m (No. 225)
One atom of each set of equivalent atoms:
Np 0.2500 0.2500 0.2500 (multiplicity 8)  4 Hg 3.24, 4 Sb 3.24
Hg 0.0000 0.0000 0.0000 (multiplicity 4)  8 Np 3.24
Sb 0.0000 0.0000 0.5000 (multiplicity 4)  8 Np 3.24

As for the total energy: -7.505 eV per atom. For the energy relative to the elements, uncorrected, the calculation gives 0.071 eV/atom. The calculated volume is 26.11 Å³ per atom.


This record from Alexandria via LeMat-Bulk describes an optimized crystal structure of CuRe2Au. The functional is PBE.

a b c (Å): 6.2087 6.2087 6.2087
angles (deg): 90.00 90.00 90.00
Closest atoms and distances in Å follow each position.
Space group Fm-3m (No. 225)
One atom of each set of equivalent atoms:
Cu 0.0000 0.0000 0.0000 (multiplicity 4)  8 Re 2.69
Re 0.2500 0.2500 0.2500 (multiplicity 8)  4 Au 2.69, 4 Cu 2.69
Au 0.0000 0.0000 0.5000 (multiplicity 4)  8 Re 2.69

As for the total energy: -7.266 eV per atom. Its energy of formation from the pure elements is 0.80 eV per atom. The calculated volume is 14.96 Å³ per atom.


This record from Alexandria via LeMat-Bulk describes an optimized crystal structure of CeSi3TcRu. The functional is PBE.

a b c (Å): 7.5468 10.9752 5.6393
angles (deg): 90.00 90.00 90.00
Closest atoms and distances in Å follow each position.
Space group Cmcm (No. 63)
One atom of each set of equivalent atoms:
Ce 0.0000 0.2474 0.2500 (multiplicity 4)  2 Si 2.82
Si 0.0000 0.2473 0.7500 (multiplicity 4)  1 Ru 2.21, 1 Tc 2.23
Si 0.2499 0.0000 0.0000 (multiplicity 8)  2 Ru 2.41, 2 Tc 2.42
Tc 0.0000 0.4503 0.7500 (multiplicity 4)  5 Si 2.23-2.42
Ru 0.0000 0.0459 0.7500 (multiplicity 4)  5 Si 2.21-2.41

As for the total energy: -7.392 eV per atom. For the energy relative to the elements, uncorrected, the calculation gives -0.418 eV/atom. The calculated volume is 19.46 Å³ per atom.


This record from Alexandria via LeMat-Bulk describes an optimized crystal structure of Ta2Ti2Al. The functional is PBE.

a b c (Å): 6.9891 6.9891 3.5971
angles (deg): 90.00 90.00 90.00
Closest atoms and distances in Å follow each position.
Space group P4/mbm (No. 127)
One atom of each set of equivalent atoms:
Ta 0.1684 0.3316 0.0000 (multiplicity 4)  6 Ti 2.66-2.78
Ti 0.1335 0.6335 0.5000 (multiplicity 4)  1 Ti 2.64, 6 Ta 2.66-2.78, 2 Al 2.73
Al 0.0000 0.0000 0.5000 (multiplicity 2)  4 Ti 2.73

As for the total energy: -8.566 eV per atom. Its energy of formation from the pure elements is 0.08 eV per atom. The calculated volume is 17.57 Å³ per atom.


This record from Alexandria via LeMat-Bulk describes an optimized crystal structure of ErScGaNi. The functional is PBE.

a b c (Å): 6.7347 6.7347 6.7347
angles (deg): 90.00 90.00 90.00
Closest atoms and distances in Å follow each position.
Space group F-43m (No. 216)
One atom of each set of equivalent atoms:
Er 0.0000 0.0000 0.0000 (multiplicity 4)  4 Ni 2.92, 4 Ga 2.92
Sc 0.0000 0.0000 0.5000 (multiplicity 4)  4 Ni 2.92, 4 Ga 2.92
Ga 0.2500 0.2500 0.2500 (multiplicity 4)  4 Er 2.92, 4 Sc 2.92
Ni 0.2500 0.2500 0.7500 (multiplicity 4)  4 Er 2.92, 4 Sc 2.92

As for the total energy: -5.414 eV per atom. Its energy of formation from the pure elements is -0.49 eV per atom. The calculated volume is 19.09 Å³ per atom.


This record from Alexandria via LeMat-Bulk describes an optimized crystal structure of CoNi2AsN. The functional is PBE.

a b c (Å): 3.8587 3.8587 3.7563
angles (deg): 90.00 90.00 90.00
Closest atoms and distances in Å follow each position.
Space group P4/mmm (No. 123)
One atom of each set of equivalent atoms:
Co 0.0000 0.0000 0.0000 (multiplicity 1)  2 N 1.88
Ni 0.0000 0.5000 0.5000 (multiplicity 2)  2 N 1.93
As 0.5000 0.5000 0.0000 (multiplicity 1)  8 Ni 2.69, 4 Co 2.73
N 0.0000 0.0000 0.5000 (multiplicity 1)  2 Co 1.88, 4 Ni 1.93

As for the total energy: -6.260 eV per atom. For the energy relative to the elements, uncorrected, the calculation gives 0.068 eV/atom. The calculated volume is 11.19 Å³ per atom.


This record from Alexandria via LeMat-Bulk describes an optimized crystal structure of Rb2AgBiBr6. The functional is PBE.

a b c (Å): 11.4075 11.4075 11.4075
angles (deg): 90.00 90.00 90.00
Closest atoms and distances in Å follow each position.
Space group Fm-3m (No. 225)
One atom of each set of equivalent atoms:
Rb 0.2500 0.2500 0.2500 (multiplicity 8)  12 Br 4.03
Ag 0.0000 0.0000 0.0000 (multiplicity 4)  6 Br 2.83
Bi 0.0000 0.0000 0.5000 (multiplicity 4)  6 Br 2.87
Br 0.0000 0.0000 0.2483 (multiplicity 24)  1 Ag 2.83, 1 Bi 2.87

As for the total energy: -2.944 eV per atom. For the energy relative to the elements, uncorrected, the calculation gives -1.073 eV/atom. The calculated volume is 37.11 Å³ per atom.


This record from Alexandria via LeMat-Bulk describes an optimized crystal structure of Pm8SiTe3S3. The functional is PBE.

a b c (Å): 14.4526 8.3435 8.6259
angles (deg): 90.00 123.95 90.00
Closest atoms and distances in Å follow each position.
Space group C2/m (No. 12)
One atom of each set of equivalent atoms:
Pm 0.0121 0.2470 0.2832 (multiplicity 8)  2 S 2.85, 1 Si 2.89, 2 Te 3.16
Pm 0.2359 0.0000 0.7062 (multiplicity 4)  3 S 2.82-2.83
Pm 0.2412 0.5000 0.7174 (multiplicity 4)  2 S 2.85, 1 Si 2.89, 2 Te 3.16
Si 0.0000 0.5000 0.5000 (multiplicity 2)  6 Pm 2.89
Te 0.0000 0.5000 0.0000 (multiplicity 2)  6 Pm 3.16-3.19
Te 0.2500 0.2500 0.0000 (multiplicity 4)  6 Pm 3.16-3.20
S 0.0000 0.0000 0.5000 (multiplicity 2)  6 Pm 2.83-2.85
S 0.2500 0.2500 0.5000 (multiplicity 4)  6 Pm 2.82-2.85

As for the total energy: -5.848 eV per atom. For the energy relative to the elements, uncorrected, the calculation gives -1.499 eV/atom. The calculated volume is 28.76 Å³ per atom.


This record from Alexandria via LeMat-Bulk describes an optimized crystal structure of KNiI. The functional is PBE.

a b c (Å): 10.3530 4.3017 8.5315
angles (deg): 90.00 90.00 90.00
Closest atoms and distances in Å follow each position.
Space group Pnma (No. 62)
One atom of each set of equivalent atoms:
K 0.2200 0.2500 0.0634 (multiplicity 4)  1 Ni 3.07
Ni 0.0169 0.2500 0.4334 (multiplicity 4)  2 Ni 2.46, 3 I 2.57-2.58
I 0.0018 0.7500 0.2667 (multiplicity 4)  3 Ni 2.57-2.58

As for the total energy: -3.080 eV per atom. For the energy relative to the elements, uncorrected, the calculation gives -0.270 eV/atom. The calculated volume is 31.66 Å³ per atom.


This record from Alexandria via LeMat-Bulk describes an optimized crystal structure of Sr2LiAgHg2. The functional is PBE.

a b c (Å): 6.6019 15.5352 6.7010
angles (deg): 90.00 90.00 90.00
Closest atoms and distances in Å follow each position.
Space group Ibam (No. 72)
One atom of each set of equivalent atoms:
Sr 0.2339 0.1646 0.0000 (multiplicity 8)  5 Hg 3.39-3.47, 2 Ag 3.42, 2 Li 3.53
Li 0.0000 0.5000 0.2500 (multiplicity 4)  4 Hg 2.86
Ag 0.0000 0.0000 0.2500 (multiplicity 4)  4 Hg 2.99, 2 Li 3.30, 2 Ag 3.35
Hg 0.2320 0.3881 0.0000 (multiplicity 8)  2 Li 2.86, 2 Ag 2.99

As for the total energy: -1.827 eV per atom. Its energy of formation from the pure elements is -0.37 eV per atom. The calculated volume is 28.64 Å³ per atom.


This record from Alexandria via LeMat-Bulk describes an optimized crystal structure of CeNd5Al3. The functional is PBE.

a b c (Å): 9.3345 9.3345 6.8005
angles (deg): 90.00 90.00 120.00
Closest atoms and distances in Å follow each position.
Space group P6_3/mcm (No. 193)
One atom of each set of equivalent atoms:
Ce 0.0000 0.0000 0.0000 (multiplicity 2)  2 Ce 3.40, 6 Nd 3.50, 6 Al 3.56
Nd 0.0000 0.3280 0.2500 (multiplicity 6)  5 Al 3.10-3.40
Nd 0.3333 0.6667 0.0000 (multiplicity 4)  8 Nd 3.40-3.57, 6 Al 3.54
Al 0.0000 0.3352 0.7500 (multiplicity 6)  5 Nd 3.10-3.40

As for the total energy: -4.767 eV per atom. Its energy of formation from the pure elements is -0.21 eV per atom. The calculated volume is 28.51 Å³ per atom.


This record from Alexandria via LeMat-Bulk describes an optimized crystal structure of LiRu2AuN. The functional is PBE.

a b c (Å): 3.9564 3.9564 4.1836
angles (deg): 90.00 90.00 90.00
Closest atoms and distances in Å follow each position.
Space group P4/mmm (No. 123)
One atom of each set of equivalent atoms:
Li 0.0000 0.0000 0.0000 (multiplicity 1)  2 N 2.09
Ru 0.0000 0.5000 0.5000 (multiplicity 2)  2 N 1.98
Au 0.5000 0.5000 0.0000 (multiplicity 1)  4 Li 2.80, 8 Ru 2.88
N 0.0000 0.0000 0.5000 (multiplicity 1)  4 Ru 1.98, 2 Li 2.09

As for the total energy: -6.422 eV per atom. For the energy relative to the elements, uncorrected, the calculation gives -0.008 eV/atom. The calculated volume is 13.10 Å³ per atom.


This record from Alexandria via LeMat-Bulk describes an optimized crystal structure of Zn2CdAu. The functional is PBE.

a b c (Å): 2.9028 5.3480 9.3458
angles (deg): 90.00 90.00 90.00
Closest atoms and distances in Å follow each position.
Space group Cmm2 (No. 35)
One atom of each set of equivalent atoms:
Zn 0.0000 0.0000 0.0000 (multiplicity 2)  4 Zn 2.60-2.90, 2 Cd 2.84
Zn 0.0000 0.5000 0.2308 (multiplicity 2)  4 Zn 2.60-2.90, 2 Au 2.65
Cd 0.0000 0.5000 0.7389 (multiplicity 2)  2 Zn 2.84, 6 Cd 2.90-3.04, 2 Au 2.92
Au 0.0000 0.0000 0.4680 (multiplicity 2)  2 Zn 2.65, 2 Au 2.90, 2 Cd 2.92

As for the total energy: -1.671 eV per atom. Its energy of formation from the pure elements is 0.01 eV per atom. The calculated volume is 18.14 Å³ per atom.


This record from Alexandria via LeMat-Bulk describes an optimized crystal structure of ZrIn2Pt. The functional is PBE.

a b c (Å): 3.2508 4.3764 6.1600
angles (deg): 90.00 103.66 90.00
Closest atoms and distances in Å follow each position.
Space group Pm (No. 6)
One atom of each set of equivalent atoms:
Zr 0.0000 0.0000 0.0000 (multiplicity 1)  4 Pt 2.90-2.96, 6 In 3.19-3.23
In 0.2693 0.0000 0.5345 (multiplicity 1)  2 Pt 2.78, 2 In 3.07
In 0.6362 0.5000 0.2868 (multiplicity 1)  1 Pt 2.79, 2 In 3.07
Pt 0.4356 0.5000 0.8215 (multiplicity 1)  3 In 2.78-2.79, 4 Zr 2.90-2.96

As for the total energy: -5.382 eV per atom. Its energy of formation from the pure elements is -0.37 eV per atom. The calculated volume is 21.29 Å³ per atom.